1.
## TiAlAg2 (PBE-GGA)

Data for crystalline TiAlAg2 at its relaxed geometry.

```
TiAlAg2
1.0
4.064 0.000 0.000
0.000 4.064 0.000
0.000 0.000 4.168
Ti Al Ag
1 1 2
direct
0.000 0.000 0.000
0.500 0.500 0.000
0.000 0.500 0.500
0.500 0.000 0.500
```

Calculated formation energy: -5 kJ/mol of formula units

=====

2.
## TiAlAg2 (PBE-GGA)

Data for crystalline TiAlAg2 at its relaxed geometry.

```
TiAlAg2
1.0
1.420 0.820 10.164
-1.420 0.820 10.164
0.000 -1.639 10.164
Ti Al Ag
1 1 2
direct
0.000 0.000 0.000
0.500 0.500 0.500
0.090 0.090 0.090
0.910 0.910 0.910
```

Calculated formation energy: 80 kJ/mol of formula units

=====

3.
## TiAl3Ag (PBE-GGA)

Data for crystalline TiAl3Ag at its relaxed geometry.

```
TiAl3Ag
1.0
4.773 0.000 0.000
0.000 4.773 0.000
0.000 0.000 4.773
Ti Al Ag
1 3 1
direct
0.000 0.000 0.000
0.000 0.500 0.500
0.500 0.000 0.500
0.500 0.500 0.000
0.500 0.500 0.500
```

Energy above the most stable polymorph in this dataset: 0.000 eV/atom
Calculated formation energy: 353 kJ/mol of formula units